Version a
Computed, not measured: a relaxed structure of KWAu at the GGA-PBE level of DFT.

Cell: 2.909 2.909 8.481 Å, 90.00 90.00 120.00°
Sites, in units of the cell vectors:
W 0.333 0.667 0.699
Au 0.000 0.000 0.977
K 0.667 0.333 0.324

Properties
- SG = No. 156
- theoretical density (g cm⁻³) = 11.2

***

Version b
Computed, not measured: a relaxed structure of KWAu at the GGA-PBE level of DFT.

Cell: 9.839 3.104 9.042 Å, 90.00 90.00 90.00°
Sites, in units of the cell vectors:
W 0.909 0.750 0.533
K 0.436 0.750 0.351
K 0.936 0.750 0.149
Au 0.229 0.250 0.160
Au 0.771 0.750 0.840
K 0.064 0.250 0.851
Au 0.729 0.250 0.340
W 0.091 0.250 0.467
W 0.409 0.750 0.967
W 0.591 0.250 0.033
K 0.564 0.250 0.649
Au 0.271 0.750 0.660

Properties
- SG = No. 62
- theoretical density (g cm⁻³) = 10.1

***

It is version a that is the least stable of them.

***

Version a
Computed, not measured: a relaxed structure of KWAu at the GGA-PBE level of DFT.

Cell: 8.334 2.991 10.528 Å, 90.00 90.00 90.00°
Sites, in units of the cell vectors:
Au 0.179 0.750 0.286
W 0.033 0.750 0.910
Au 0.821 0.250 0.714
Au 0.321 0.250 0.786
Au 0.679 0.750 0.214
K 0.133 0.750 0.582
W 0.467 0.250 0.410
K 0.367 0.250 0.082
K 0.633 0.750 0.918
K 0.867 0.250 0.418
W 0.967 0.250 0.090
W 0.533 0.750 0.590

Properties
- SG = No. 62
- theoretical density (g cm⁻³) = 10.6

***

Version b
Computed, not measured: a relaxed structure of KWAu at the GGA-PBE level of DFT.

Cell: 12.783 5.241 4.893 Å, 90.00 90.00 90.00°
Sites, in units of the cell vectors:
W 0.004 0.750 0.501
K 0.737 0.750 0.443
Au 0.000 0.500 0.000
Au 0.500 0.000 0.500
W 0.496 0.250 0.001
Au 0.000 0.000 0.000
W 0.504 0.750 0.999
W 0.996 0.250 0.499
Au 0.500 0.500 0.500
K 0.237 0.750 0.057
K 0.263 0.250 0.557
K 0.763 0.250 0.943

Properties
- SG = No. 62
- theoretical density (g cm⁻³) = 8.5

***

It is version b that is the least stable of them.